Entry from Alexandria via LeMat-Bulk: a geometry-optimized Li7Co5O12 structure (PBE+U).

Summary:
Energy = -5.50 eV/atom

abc: 2.8565 8.2304 9.6454
angles: 65.20 88.55 89.30
Space group P-1 (No. 2)
One atom of each set of equivalent atoms:
Li  0.0000  0.0000  0.0000 (multiplicity 1)
Li  0.0000  0.5000  0.0000 (multiplicity 1)
Li  0.0116  0.1641  0.6694 (multiplicity 2)
Li  0.4993  0.6928  0.1626 (multiplicity 2)
Li  0.5000  0.0000  0.5000 (multiplicity 1)
Co  0.0030  0.6603  0.6706 (multiplicity 2)
Co  0.4975  0.1579  0.1642 (multiplicity 2)
Co  0.5000  0.5000  0.5000 (multiplicity 1)
O  0.0064  0.7611  0.9798 (multiplicity 2)
O  0.0100  0.9039  0.6848 (multiplicity 2)
O  0.0110  0.5753  0.3481 (multiplicity 2)
O  0.4802  0.3976  0.1729 (multiplicity 2)
O  0.4862  0.7314  0.5121 (multiplicity 2)
O  0.4939  0.9377  0.1693 (multiplicity 2)